{"formula": "Y2MnCuBr", "functional": "GGA-PBEsol", "state": "relaxed", "formation_energy_uncorrected_ev_per_atom": 0.3722, "lattice_angstrom": [[5.244, 0.000, 0.000], [0.000, 5.244, 0.000], [0.000, 0.000, 4.352]], "species": ["Y", "Y", "Mn", "Cu", "Br"], "frac_coords": [[0.000, 0.500, 0.000], [0.500, 0.000, 0.000], [0.000, 0.000, 0.500], [0.500, 0.500, 0.500], [0.000, 0.000, 0.000]]}

---

{"formula": "InSi3Cl", "functional": "GGA-PBEsol", "state": "relaxed", "formation_energy_uncorrected_ev_per_atom": 1.2420, "lattice_angstrom": [[5.135, 0.000, 0.000], [0.000, 5.135, 0.000], [0.000, 0.000, 5.135]], "species": ["In", "Si", "Si", "Si", "Cl"], "frac_coords": [[0.000, 0.000, 0.000], [0.000, 0.000, 0.500], [0.000, 0.500, 0.000], [0.500, 0.000, 0.000], [0.500, 0.500, 0.500]]}

---

{"formula": "BeCd2InIr", "functional": "GGA-PBEsol", "state": "relaxed", "formation_energy_kj_per_mol_atoms": 145.34, "lattice_angstrom": [[5.111, 0.000, 0.000], [0.000, 5.111, 0.000], [0.000, 0.000, 4.310]], "species": ["Be", "Cd", "Cd", "In", "Ir"], "frac_coords": [[0.000, 0.000, 0.000], [0.000, 0.500, 0.500], [0.500, 0.000, 0.500], [0.000, 0.000, 0.500], [0.500, 0.500, 0.000]]}

---

{"formula": "ScFeO2", "functional": "GGA-PBEsol", "state": "relaxed", "formation_energy_uncorrected_ev_per_atom": -2.2639, "lattice_angstrom": [[1.591, 0.918, 5.703], [-1.591, 0.918, 5.703], [0.000, -1.837, 5.703]], "species": ["Sc", "Fe", "O", "O"], "frac_coords": [[0.000, 0.000, 0.000], [0.500, 0.500, 0.500], [0.393, 0.393, 0.393], [0.607, 0.607, 0.607]]}

---

{"formula": "Ti3CdGe", "functional": "GGA-PBEsol", "state": "relaxed", "formation_energy_kj_per_mol_atoms": 111.54, "lattice_angstrom": [[4.842, 0.000, 0.000], [0.000, 4.842, 0.000], [0.000, 0.000, 4.842]], "species": ["Ti", "Ti", "Ti", "Cd", "Ge"], "frac_coords": [[0.000, 0.000, 0.500], [0.000, 0.500, 0.000], [0.500, 0.000, 0.000], [0.000, 0.000, 0.000], [0.500, 0.500, 0.500]]}

---

{"formula": "LiCaMn2", "functional": "GGA-PBEsol", "state": "relaxed", "formation_energy_kj_per_mol_atoms": 67.47, "lattice_angstrom": [[-1.604, 2.463, 4.828], [1.604, -2.463, 4.828], [1.604, 2.463, -4.828]], "species": ["Li", "Ca", "Mn", "Mn"], "frac_coords": [[0.000, 0.000, 0.000], [0.727, 0.227, 0.500], [0.231, 0.731, 0.500], [0.448, 0.448, 0.000]]}

---

{"formula": "K2CaZnPt", "functional": "GGA-PBEsol", "state": "relaxed", "formation_energy_kj_per_mol_atoms": 115.52, "lattice_angstrom": [[6.258, 0.000, 0.000], [0.000, 6.258, 0.000], [0.000, 0.000, 5.226]], "species": ["K", "K", "Ca", "Zn", "Pt"], "frac_coords": [[0.000, 0.500, 0.000], [0.500, 0.000, 0.000], [0.000, 0.000, 0.000], [0.000, 0.000, 0.500], [0.500, 0.500, 0.500]]}

---

{"formula": "Tc2Pb3", "functional": "GGA-PBEsol", "state": "relaxed", "formation_energy_kj_per_mol_atoms": 65.12, "lattice_angstrom": [[1.644, 0.949, 11.109], [-1.644, 0.949, 11.109], [0.000, -1.898, 11.109]], "species": ["Tc", "Tc", "Pb", "Pb", "Pb"], "frac_coords": [[0.105, 0.105, 0.105], [0.895, 0.895, 0.895], [0.290, 0.290, 0.290], [0.500, 0.500, 0.500], [0.710, 0.710, 0.710]]}

---

| no. | size of the total moment (μB per cell) |
| --- | --- |
| 1 | 2.69 |
| 2 | 0.31 |
| 3 | 1.08 |
| 4 | 3.00 |
| 5 | 1.61 |
| 6 | 7.30 |
| 7 | 0.00 |
| 8 | 0.00 |